## ScU3N4 (PBE)

Data for an optimized crystal structure of ScU3N4.

Output
The uncorrected formation energy comes out at -1.43 eV per atom. The crystal system is tetragonal. The value obtained for the volume is 13.652 Å³/atom.

```
ScU3N4
1.0
0.697 0.557 -4.693
-0.626 -4.691 -0.650
-4.728 2.778 2.059
Sc U N
1 3 4
direct
0.000 0.000 0.000
0.500 0.500 0.000
0.750 0.250 0.500
0.250 0.750 0.500
0.000 0.500 0.000
0.500 0.000 0.000
0.243 0.243 0.486
0.757 0.757 0.514
```

---

## V4Cr3Rh (PBE)

Data for an optimized crystal structure of V4Cr3Rh.

Output
The formation energy comes out at -0.19 eV/atom. The crystal system is tetragonal. The value obtained for the volume is 12.725 Å³/atom.

```
V4Cr3Rh
1.0
4.158 0.000 0.000
0.000 5.887 0.000
0.000 0.000 8.317
Cr Rh V
6 2 8
direct
0.000 0.000 0.000
0.000 0.000 0.500
0.500 0.000 0.750
0.500 0.000 0.250
0.500 0.500 0.750
0.500 0.500 0.250
0.000 0.500 0.000
0.000 0.500 0.500
0.500 0.759 0.000
0.500 0.759 0.500
0.500 0.241 0.000
0.500 0.241 0.500
0.000 0.759 0.750
0.000 0.759 0.250
0.000 0.241 0.250
0.000 0.241 0.750
```

---

## Fe2OsSe (PBE)

Data for an optimized crystal structure of Fe2OsSe.

Output
The uncorrected formation energy comes out at 0.47 eV per atom. The crystal system is monoclinic. The value obtained for the volume is 13.665 Å³/atom.

```
Fe2OsSe
1.0
2.966 0.000 0.000
0.000 4.316 0.037
0.000 4.307 4.307
Fe Os Se
2 1 1
direct
0.000 0.000 0.000
0.500 0.500 0.000
0.500 0.500 0.500
0.000 0.000 0.500
```

---

- What is the formula in the second record?
  V4Cr3Rh